# PBE LaReN3, optimized geometry
# - Symmetry: R3m (160)
# - Raw formation energy: -0.84 eV/f.u.
# - Crystal system: trigonal
data_LaReN3
_cell_length_a 4.5143
_cell_length_b 4.5143
_cell_length_c 4.5143
_cell_angle_alpha 83.41
_cell_angle_beta 83.41
_cell_angle_gamma 83.41
_symmetry_space_group_name_H-M 'P 1'
_symmetry_Int_Tables_number 1
loop_
_symmetry_equiv_pos_as_xyz
'x,y,z'
loop_
_atom_site_label
_atom_site_type_symbol
_atom_site_fract_x
_atom_site_fract_y
_atom_site_fract_z
La1 La 0.0000 0.0000 0.0000
Re1 Re 0.4200 0.4200 0.4200
N1 N 0.1445 0.6399 0.6399
N2 N 0.6399 0.1445 0.6399
N3 N 0.6399 0.6399 0.1445